[1]
# Nb2CdOs

An optimized crystal structure of Nb2CdOs (GGA-PBE, the Alexandria database).

Computed properties:
The value obtained for the total DFT energy (no corrections) is -7.58 eV per atom.

Structure (POSCAR):
```
Nb2CdOs
1.0
-3.792 3.792 2.771
3.792 -3.792 2.771
3.792 3.792 -2.771
Nb Cd Os
4 2 2
Cartesian
5.688 1.509 -0.693
1.509 1.896 0.693
-1.896 2.283 2.078
2.283 1.896 3.464
3.792 0.000 1.385
0.000 0.000 2.771
0.000 0.000 0.000
0.000 3.792 1.385
```

---

[2]
# Cd2GaIr

An optimized crystal structure of Cd2GaIr (GGA-PBE, the Alexandria database).

Computed properties:
The value obtained for the total DFT energy (no corrections) is -3.24 eV per atom.

Structure (POSCAR):
```
Cd2GaIr
1.0
-4.573 4.573 2.412
4.573 -4.573 2.412
4.573 4.573 -2.412
Cd Ga Ir
4 2 2
Cartesian
6.860 1.247 -0.603
1.247 2.287 0.603
-2.287 3.326 1.809
3.326 2.287 3.015
4.573 0.000 1.206
0.000 0.000 2.412
0.000 0.000 0.000
0.000 4.573 1.206
```

---

[3]
# ZrNiCl2

An optimized crystal structure of ZrNiCl2 (GGA-PBE, the Alexandria database).

Computed properties:
Its uncorrected formation energy is -0.744 eV/atom.

Structure (POSCAR):
```
ZrNiCl2
1.0
6.842 -1.643 0.000
6.842 1.643 0.000
-0.172 0.000 4.268
Zr Ni Cl
1 1 2
Cartesian
0.000 0.000 0.000
6.756 0.000 2.134
4.843 0.000 3.302
8.669 0.000 0.967
```

---

Number 1: magnetic moment 0.0000 μB per atom, calculated volume 19.92 A^3/atom. Number 2: magnetic moment 0.0000 μB per atom, calculated volume 25.22 A^3/atom. Number 3: magnetic moment 0.0000 μB per atom, calculated volume 24.00 A^3/atom.